(1)
DFT (GGA-PBE) results for a geometry-optimized BaAg3P structure.

Summary:
DFT formation energy ... 1.429 eV per atom
Total magnetization ... 2.000 μB per cell
Excess energy over the best structure of this formula in the dataset ... 1462 meV/atom
SG ... Pm-3m

a = 6.2376 Å, b = 6.2376 Å, c = 6.2376 Å
α = 90.00°, β = 90.00°, γ = 90.00°
Closest atoms and distances in Å follow each position.
Fractional coordinates of all 5 atoms:
1 P 0.5000 0.5000 0.5000  12 Ag 4.41
2 Ba 0.0000 0.0000 0.0000  6 Ag 3.12
3 Ag 0.0000 0.5000 0.0000  2 Ba 3.12
4 Ag 0.0000 0.0000 0.5000  2 Ba 3.12
5 Ag 0.5000 0.0000 0.0000  2 Ba 3.12

=====

(2)
DFT (GGA-PBE) results for a geometry-optimized Ba2FeMo structure.

Summary:
DFT formation energy ... 1.300 eV per atom
Total magnetization ... 5.788 μB per cell
Excess energy over the best structure of this formula in the dataset ... 618 meV/atom
SG ... I-4m2

a = 5.8319 Å, b = 5.8319 Å, c = 5.8319 Å
α = 129.20°, β = 129.20°, γ = 74.68°
Closest atoms and distances in Å follow each position.
Fractional coordinates of all 4 atoms:
1 Ba 0.0000 0.0000 0.0000  4 Ba 3.41, 4 Mo 3.41, 4 Fe 3.54
2 Ba 0.2500 0.7500 0.5000  4 Fe 3.41, 4 Ba 3.41, 4 Mo 3.54
3 Fe 0.5000 0.5000 0.0000  4 Mo 3.41, 8 Ba 3.41-3.54
4 Mo 0.7500 0.2500 0.5000  4 Fe 3.41, 8 Ba 3.41-3.54

=====

(3)
DFT (GGA-PBE) results for a geometry-optimized Hf7Tl2Bi2 structure.

Summary:
DFT formation energy ... 0.224 eV per atom
Total magnetization ... 0.000 μB per cell
SG ... C2/m

a = 5.8728 Å, b = 7.2443 Å, c = 7.2443 Å
α = 94.06°, β = 108.04°, γ = 108.04°
Closest atoms and distances in Å follow each position.
Fractional coordinates of all 11 atoms:
1 Hf 0.2154 0.9319 0.4086  5 Hf 2.98-3.16, 2 Tl 2.98-3.11, 1 Bi 3.24
2 Hf 0.7846 0.5914 0.0681  5 Hf 2.98-3.16, 2 Tl 2.98-3.11, 1 Bi 3.24
3 Hf 0.7846 0.0681 0.5914  5 Hf 2.98-3.16, 2 Tl 2.98-3.11, 1 Bi 3.24
4 Hf 0.2154 0.4086 0.9319  5 Hf 2.98-3.16, 2 Tl 2.98-3.11, 1 Bi 3.24
5 Hf 0.0000 0.0000 0.0000  6 Hf 2.98-3.10, 2 Bi 3.27
6 Hf 0.4778 0.7115 0.7115  3 Bi 2.90-3.24, 5 Hf 3.01-3.11
7 Hf 0.5222 0.2885 0.2885  3 Bi 2.90-3.24, 5 Hf 3.01-3.11
8 Tl 0.5000 0.1580 0.8420  6 Hf 2.98-3.26
9 Tl 0.5000 0.8420 0.1580  6 Hf 2.98-3.26
10 Bi 0.0855 0.3515 0.3515  5 Hf 2.90-3.24
11 Bi 0.9145 0.6485 0.6485  5 Hf 2.90-3.24

=====

(4)
DFT (GGA-PBE) results for a geometry-optimized PmY2Pd2 structure.

Summary:
DFT formation energy ... -0.650 eV per atom
Total magnetization ... 0.000 μB per cell
Excess energy over the best structure of this formula in the dataset ... 35 meV/atom
SG ... P2_1/m

a = 4.6935 Å, b = 5.4770 Å, c = 11.0545 Å
α = 110.52°, β = 90.00°, γ = 90.00°
Closest atoms and distances in Å follow each position.
Fractional coordinates of all 10 atoms:
1 Pm 0.2500 0.7987 0.2171  5 Pd 3.01-3.07
2 Pm 0.7500 0.2013 0.7829  5 Pd 3.01-3.07
3 Y 0.2500 0.7735 0.8819  5 Pd 2.84-2.99
4 Y 0.7500 0.2265 0.1181  5 Pd 2.84-2.99
5 Y 0.2500 0.2892 0.5324  4 Pd 2.90-2.97
6 Y 0.7500 0.7108 0.4676  4 Pd 2.90-2.97
7 Pd 0.2500 0.8687 0.6351  5 Y 2.90-2.97, 2 Pm 3.07
8 Pd 0.7500 0.1313 0.3649  5 Y 2.90-2.97, 2 Pm 3.07
9 Pd 0.2500 0.3269 0.9738  4 Y 2.84-2.99, 2 Pd 2.94, 3 Pm 3.01-3.07
10 Pd 0.7500 0.6731 0.0262  4 Y 2.84-2.99, 2 Pd 2.94, 3 Pm 3.01-3.07

=====

(5)
DFT (GGA-PBE) results for a geometry-optimized LiLa4Tb3S8 structure.

Summary:
Total magnetization ... 0.000 μB per cell
Formation energy (no corrections) ... -2.03 eV per atom
SG ... R-3m

a = 8.0461 Å, b = 8.0843 Å, c = 8.0459 Å
α = 119.84°, β = 120.00°, γ = 90.00°
Closest atoms and distances in Å follow each position.
Fractional coordinates of all 16 atoms:
1 Li 0.0000 0.5000 0.0000  6 S 2.75
2 La 0.5000 0.0000 0.0000  6 S 2.96
3 La 0.5000 0.0000 0.5000  6 S 2.92
4 La 0.0000 0.0000 0.0000  6 S 2.92
5 La 0.0000 0.0000 0.5000  6 S 2.92
6 Tb 0.5000 0.5000 0.0000  6 S 2.79
7 Tb 0.5000 0.5000 0.5000  6 S 2.79
8 Tb 0.0000 0.5000 0.5000  6 S 2.79
9 S 0.2410 0.7290 0.9881  1 Li 2.75, 2 Tb 2.79, 3 La 2.92-2.96
10 S 0.2410 0.7291 0.4821  1 Li 2.75, 2 Tb 2.79, 3 La 2.92-2.96
11 S 0.2559 0.2676 0.5117  3 Tb 2.79, 3 La 2.92
12 S 0.7471 0.7290 0.9881  1 Li 2.75, 2 Tb 2.79, 3 La 2.92-2.96
13 S 0.2529 0.2710 0.0119  1 Li 2.75, 2 Tb 2.79, 3 La 2.92-2.96
14 S 0.7441 0.7324 0.4883  3 Tb 2.79, 3 La 2.92
15 S 0.7590 0.2709 0.5179  1 Li 2.75, 2 Tb 2.79, 3 La 2.92-2.96
16 S 0.7590 0.2710 0.0119  1 Li 2.75, 2 Tb 2.79, 3 La 2.92-2.96

=====

(6)
DFT (GGA-PBE) results for a geometry-optimized ScTl3C structure.

Summary:
DFT formation energy ... 1.675 eV per atom
Total magnetization ... 0.090 μB per cell
Excess energy over the best structure of this formula in the dataset ... 660 meV/atom
SG ... Pm-3m

a = 5.7191 Å, b = 5.7191 Å, c = 5.7191 Å
α = 90.00°, β = 90.00°, γ = 90.00°
Closest atoms and distances in Å follow each position.
Fractional coordinates of all 5 atoms:
1 Sc 0.0000 0.0000 0.0000  6 Tl 2.86
2 Tl 0.0000 0.5000 0.0000  2 Sc 2.86
3 Tl 0.0000 0.0000 0.5000  2 Sc 2.86
4 Tl 0.5000 0.0000 0.0000  2 Sc 2.86
5 C 0.5000 0.5000 0.5000  12 Tl 4.04